! MnP3O9 (SCAN, single point on PBEsol structure); values from VASP
&SYSTEM
  ibrav = 0, nat = 26, ntyp = 3
/
ATOMIC_SPECIES
Mn 54.94 Mn.upf
P 30.97 P.upf
O 16.00 O.upf
CELL_PARAMETERS angstrom
6.9469 0.0149 -0.1670
1.9008 6.8207 -0.0842
0.3259 0.5971 6.9046
ATOMIC_POSITIONS crystal
Mn 0.4207 0.8606 0.8425
Mn 0.5793 0.1394 0.1575
P 0.2622 0.5520 0.1274
P 0.7378 0.4480 0.8726
P 0.8929 0.7611 0.3195
P 0.1071 0.2389 0.6805
P 0.4791 0.7734 0.3528
P 0.5209 0.2266 0.6472
O 0.7119 0.3293 0.0570
O 0.2881 0.6707 0.9430
O 0.3287 0.3312 0.1200
O 0.6713 0.6688 0.8800
O 0.0356 0.6022 0.1850
O 0.9644 0.3978 0.8150
O 0.8195 0.9444 0.1776
O 0.1805 0.0556 0.8224
O 0.4351 0.9362 0.1863
O 0.5649 0.0638 0.8137
O 0.3764 0.6082 0.3017
O 0.6236 0.3918 0.6983
O 0.7096 0.6584 0.3416
O 0.2904 0.3416 0.6584
O 0.5808 0.1711 0.4492
O 0.4192 0.8289 0.5508
O 0.0139 0.2306 0.4962
O 0.9861 0.7694 0.5038
! Excess energy over the best structure of this formula in the dataset   0.044 eV/atom
! Crystal system   triclinic
! Energy relative to the elements, uncorrected   -2.297 eV/atom
! Total magnetization   8.000 μB per cell